# 1
The following is a DFT calculation (PBE) of Cs2Si2S after structural relaxation.

Results
Excess energy over the best structure of this formula in the dataset   0.0000 eV per atom
Energy   -3.34 eV/atom
ρ   3.16 g/cm³

Cell: 7.2236 7.2236 6.2291 Å, 54.56 54.56 90.00°
Fractional coordinates of all 5 atoms:
Cs: 0.7500 0.2500 0.5000
Cs: 0.2500 0.7500 0.5000
S: 0.0000 0.0000 0.0000
Si: 0.3455 0.3455 0.3091
Si: 0.6545 0.6545 0.6909

***

# 2
The following is a DFT calculation (PBE) of CsSiS after structural relaxation.

Results
Energy   -3.93 eV/atom
ρ   3.05 g/cm³

Cell: 8.2683 6.8636 7.8072 Å, 71.59 90.00 90.00°
Fractional coordinates of all 12 atoms:
Cs: 0.8959 0.6900 0.2013
Cs: 0.6041 0.6900 0.7013
Cs: 0.1041 0.3100 0.7987
Cs: 0.3959 0.3100 0.2987
Si: 0.1067 0.9039 0.5770
Si: 0.3933 0.9039 0.0770
Si: 0.8933 0.0961 0.4230
Si: 0.6067 0.0961 0.9230
S: 0.7458 0.2394 0.5751
S: 0.2458 0.7606 0.9249
S: 0.2542 0.7606 0.4249
S: 0.7542 0.2394 0.0751

***

- The highest ρ belongs to which entry?
  Cs2Si2S